1.
First-principles (GGA-PBE) data for a relaxed Mg2Zn2Bi crystal, as listed in the Alexandria database.

abc: 8.031 8.031 3.287
angles: 90.00 90.00 90.00
Fractional positions:
Mg (0.177, 0.323, 0.000)
Mg (0.323, 0.823, 0.000)
Mg (0.677, 0.177, 0.000)
Mg (0.823, 0.677, 0.000)
Zn (0.115, 0.615, 0.500)
Zn (0.385, 0.115, 0.500)
Zn (0.615, 0.885, 0.500)
Zn (0.885, 0.385, 0.500)
Bi (0.000, 0.000, 0.500)
Bi (0.500, 0.500, 0.500)

Properties
Formation energy (kJ/mol of atoms): -4
Total magnetic moment (μB/f.u.): 0.0
Crystal system: tetragonal
N(E_F) (states/eV per atom): 0.3633
E_tot (eV/atom): -1.97
Space group: No. 127
E above lowest polymorph (kJ per mole of atoms): 0.0

2.
First-principles (GGA-PBE) data for a relaxed YTaGaMo2 crystal, as listed in the Alexandria database.

abc: 4.755 4.755 5.531
angles: 90.00 90.00 90.00
Fractional positions:
Y (0.000, 0.000, 0.000)
Ta (0.000, 0.000, 0.500)
Ga (0.500, 0.500, 0.000)
Mo (0.000, 0.500, 0.500)
Mo (0.500, 0.000, 0.500)

Properties
Formation energy (kJ/mol of atoms): 133
Total magnetic moment (μB/f.u.): 0.0
Crystal system: tetragonal
N(E_F) (states/eV per atom): 1.3205
E_tot (eV/atom): -7.22
Space group: No. 123